1.
Entry from Alexandria: a relaxed Re3Pt crystal (PBE-GGA).

It has space group R-3m (No. 166, hexagonal axes), with a = 8.9436 Å, b = 8.9436 Å, c = 2.6525 Å, α = 90.00°, β = 90.00° and γ = 120.00°. The inequivalent atoms are Re at (0.0000, 0.5000, 0.0000) and Pt at (0.0000, 0.0000, 0.0000).

The density of states at the Fermi level is 0.811 states/eV per atom. The calculated formation energy comes out at 33.7 kJ per mole of atoms.

=====

2.
Entry from Alexandria: a relaxed RePt crystal (PBE-GGA).

It has space group P6_3/mmc (No. 194), with a = 4.3425 Å, b = 4.3425 Å, c = 8.1164 Å, α = 90.00°, β = 90.00° and γ = 120.00°. The inequivalent atoms are Re at (0.0000, 0.0000, 0.2500), Re at (0.3333, 0.6667, 0.2500) and Pt at (0.3333, 0.6667, 0.5814).

The density of states at the Fermi level is 1.033 states/eV per atom. The energy above the most stable polymorph in this dataset is 0.425 eV/atom. The calculated formation energy comes out at 28.9 kJ per mole of atoms.

=====

3.
Entry from Alexandria: a relaxed Re3Pt crystal (PBE-GGA).

It has space group P-6m2 (No. 187), with a = 2.7784 Å, b = 2.7784 Å, c = 9.0025 Å, α = 90.00°, β = 90.00° and γ = 120.00°. The inequivalent atoms are Re at (0.0000, 0.0000, 0.0000), Re at (0.3333, 0.6667, 0.2463) and Pt at (0.0000, 0.0000, 0.5000).

The density of states at the Fermi level is 0.816 states/eV per atom. The calculated formation energy comes out at -4.6 kJ per mole of atoms.

=====

4.
Entry from Alexandria: a relaxed RePt crystal (PBE-GGA).

It has space group C2/m (No. 12), with a = 9.275 Å, b = 2.710 Å, c = 4.883 Å, α = 90.00°, β = 98.82° and γ = 90.00°. The inequivalent atoms are Re at (0.123, 0.000, 0.380) and Pt at (0.120, 0.500, 0.869).

The density of states at the Fermi level is 0.822 states/eV per atom. The energy above the most stable polymorph in this dataset is 0.067 eV/atom. The calculated formation energy comes out at -5.6 kJ per mole of atoms.

=====

5.
Entry from Alexandria: a relaxed RePt7 crystal (PBE-GGA).

It has space group Fm-3m (No. 225), with a = 7.919 Å, b = 7.919 Å, c = 7.919 Å, α = 90.00°, β = 90.00° and γ = 90.00°. The inequivalent atoms are Re at (0.000, 0.000, 0.000), Pt at (0.000, 0.000, 0.500) and Pt at (0.000, 0.250, 0.250).

The density of states at the Fermi level is 1.433 states/eV per atom. The calculated formation energy comes out at 2.1 kJ per mole of atoms.

=====

6.
Entry from Alexandria: a relaxed RePt crystal (PBE-GGA).

It has space group Pm-3m (No. 221), with a = 3.145 Å, b = 3.145 Å, c = 3.145 Å, α = 90.00°, β = 90.00° and γ = 90.00°. The inequivalent atoms are Re at (0.000, 0.000, 0.000) and Pt at (0.500, 0.500, 0.500).

The density of states at the Fermi level is 1.984 states/eV per atom. The energy above the most stable polymorph in this dataset is 0.636 eV/atom. The calculated formation energy comes out at 49.2 kJ per mole of atoms.

=====

calculated formation energy of number 2 (RePt)?
28.9 kJ per mole of atoms